{"formula": "Y6P2PbS3", "functional": "GGA-PBE", "state": "optimized geometry", "n_ef_per_ev_atom": 0.37, "e_form_raw_ev_per_fu": -19.43, "final_energy_ev_per_atom": -7.094, "volume_a3_per_cell": 282, "lattice": [[-0.7737, 3.8124, -0.9691], [-4.4017, -2.5256, -6.4213], [-5.6204, -1.4850, 6.9376]], "species": ["Y", "Y", "Y", "Y", "Y", "Y", "S", "S", "S", "P", "P", "Pb"], "frac_coords": [[0.9968, 0.7273, 0.9936], [0.6705, 0.5784, 0.3411], [0.3257, 0.9014, 0.6514], [0.0032, 0.2727, 0.0064], [0.3295, 0.4216, 0.6589], [0.6743, 0.0986, 0.3486], [0.8343, 0.1680, 0.6687], [0.5000, 0.5000, 0.0000], [0.1657, 0.8320, 0.3313], [0.8320, 0.6634, 0.6641], [0.1680, 0.3366, 0.3359], [0.5000, 0.0000, 0.0000]]}